DFT (PBE-GGA) results for crystalline ErTmAsP at its relaxed geometry.

Geometry as POSCAR:
```
ErTmAsP
1.0
-1.0183 3.8257 0.6810
-3.0976 -0.3740 -2.5308
-3.3167 -1.6488 4.3036
Er Tm As P
1 1 1 1
Cartesian
-4.7263 -1.3101 0.2924
-2.0284 1.6139 -0.2517
-3.6878 0.7893 1.8995
-3.0675 -0.4857 -1.8586
```

Summary:
N(E_F) = 0.37 states/eV per cell
space group = P4/mmm (123)
formation energy = -1551 meV per atom

---

DFT (PBE-GGA) results for crystalline YErAsP at its relaxed geometry.

Geometry as POSCAR:
```
YErAsP
1.0
-1.4507 -2.0278 -3.1896
-0.8080 -3.1722 2.3842
-5.2204 2.1062 1.0354
Y Er As P
1 1 1 1
Cartesian
-4.1348 -1.0082 -0.0477
-1.2028 -2.6332 2.2211
-3.8131 -1.5804 2.7391
-1.5241 -2.0611 -0.5657
```

Summary:
N(E_F) = 0.38 states/eV per cell
space group = P4/mmm (123)
formation energy = -1568 meV per atom

---

DFT (PBE-GGA) results for crystalline ErPaAs2 at its relaxed geometry.

Geometry as POSCAR:
```
ErPaAs2
1.0
-4.0090 -0.8839 -0.7447
-1.3681 -3.9270 0.3385
-3.6145 -0.2607 8.0804
As Pa Er
2 1 1
Cartesian
-3.0242 -0.6958 5.4186
-5.9674 -4.3758 2.2555
-4.4958 -2.5358 3.8371
0.0000 0.0000 0.0000
```

Summary:
excess energy over the best structure of this formula in the dataset = 819 meV per atom
N(E_F) = 4.08 states/eV per cell
space group = R-3m (166)
formation energy = -449 meV per atom

---

DFT (PBE-GGA) results for crystalline ErPaAs2 at its relaxed geometry.

Geometry as POSCAR:
```
ErPaAs2
1.0
4.0306 0.0000 0.0000
2.0153 3.4906 0.0000
2.0153 1.1635 6.9788
Er Pa As
1 1 2
Cartesian
4.0306 2.3271 3.6027
6.0459 3.4906 6.8899
2.0153 1.1635 5.2412
2.0153 1.1635 1.7133
```

Summary:
excess energy over the best structure of this formula in the dataset = 143 meV per atom
N(E_F) = 2.86 states/eV per cell
space group = R3m (160)
formation energy = -1126 meV per atom

---

DFT (PBE-GGA) results for crystalline Er2PaAs at its relaxed geometry.

Geometry as POSCAR:
```
Er2PaAs
1.0
3.5638 0.0000 0.0000
1.7819 3.0864 0.0000
1.7819 1.0288 10.2410
As Pa Er
1 1 2
Cartesian
3.5638 2.0576 5.1205
0.0000 0.0000 0.0000
1.7819 1.0288 6.9255
5.3457 3.0864 3.3155
```

Summary:
N(E_F) = 5.75 states/eV per cell
space group = R-3m (166)
formation energy = -99 meV per atom

---

DFT (PBE-GGA) results for crystalline ErPaAs2 at its relaxed geometry.

Geometry as POSCAR:
```
ErPaAs2
1.0
5.3238 0.0000 -2.2484
-0.9495 5.2384 -2.2484
-0.1485 -0.1779 7.0754
Er Pa As
2 2 4
Cartesian
2.1871 2.6192 -2.2484
0.5445 3.8399 1.2893
3.6812 1.2207 1.2893
0.0000 0.0000 0.0000
3.2061 3.8395 0.1644
1.5635 5.0602 3.7021
1.0196 1.2210 2.4142
-0.4745 2.6196 -1.1235
```

Summary:
excess energy over the best structure of this formula in the dataset = 0 meV per atom
N(E_F) = 9.48 states/eV per cell
space group = I4_1/amd (141)
formation energy = -1269 meV per atom